# 1
VASP calculation (GGA-PBE) on a relaxed structure of Cs2NdSi2S6.

Cell and atoms, written as CIF:
```
data_Cs2NdSi2S6
_chemical_formula_sum 'Cs4 Nd2 Si4 S12'
_symmetry_space_group_name_H-M 'C 1 2/m 1'
_symmetry_Int_Tables_number 12
_symmetry_space_group_name_Hall '-C 2y'
_cell_length_a 12.7340
_cell_length_b 7.3522
_cell_length_c 8.1519
_cell_angle_alpha 90.00
_cell_angle_beta 121.97
_cell_angle_gamma 90.00
loop_
_atom_site_label
_atom_site_type_symbol
_atom_site_fract_x
_atom_site_fract_y
_atom_site_fract_z
_atom_site_occupancy
Cs1 Cs 0.2242 0.0000 0.2113 1
Nd1 Nd 0.0000 0.0000 0.5000 1
Si1 Si 0.0501 0.5000 0.1896 1
S1 S 0.0245 0.2596 0.7753 1
S2 S 0.2409 0.5000 0.3027 1
```

Calculated values
Total DFT energy (no corrections)   -4.9065 eV/atom
Crystal system   monoclinic

# 2
VASP calculation (GGA-PBE) on a relaxed structure of Cs2Nd2SnS6.

Cell and atoms, written as CIF:
```
data_Cs2Nd2SnS6
_chemical_formula_sum 'Cs4 Nd4 Sn2 S12'
_symmetry_space_group_name_H-M 'C 1 2/m 1'
_symmetry_Int_Tables_number 12
_symmetry_space_group_name_Hall '-C 2y'
_cell_length_a 7.1130
_cell_length_b 12.1942
_cell_length_c 8.6484
_cell_angle_alpha 90.00
_cell_angle_beta 106.47
_cell_angle_gamma 90.00
loop_
_atom_site_label
_atom_site_type_symbol
_atom_site_fract_x
_atom_site_fract_y
_atom_site_fract_z
_atom_site_occupancy
Cs1 Cs 0.0000 0.1712 0.0000 1
Nd1 Nd 0.0000 0.3327 0.5000 1
Sn1 Sn 0.0000 0.0000 0.5000 1
S1 S 0.2177 0.1552 0.6794 1
S2 S 0.2427 0.0000 0.3235 1
```

Calculated values
Total DFT energy (no corrections)   -5.0375 eV/atom
Crystal system   monoclinic

# 3
VASP calculation (GGA-PBE) on a relaxed structure of Cs3Nd2SnS6.

Cell and atoms, written as CIF:
```
data_Cs3Nd2SnS6
_chemical_formula_sum 'Cs6 Nd4 Sn2 S12'
_symmetry_space_group_name_H-M 'C 1 2/m 1'
_symmetry_Int_Tables_number 12
_symmetry_space_group_name_Hall '-C 2y'
_cell_length_a 7.3049
_cell_length_b 12.6520
_cell_length_c 8.4217
_cell_angle_alpha 90.00
_cell_angle_beta 106.80
_cell_angle_gamma 90.00
loop_
_atom_site_label
_atom_site_type_symbol
_atom_site_fract_x
_atom_site_fract_y
_atom_site_fract_z
_atom_site_occupancy
Cs1 Cs 0.0000 0.0000 0.0000 1
Cs2 Cs 0.0000 0.3330 0.0000 1
Nd1 Nd 0.0000 0.1667 0.5000 1
Sn1 Sn 0.0000 0.5000 0.5000 1
S1 S 0.2247 0.3368 0.6845 1
S2 S 0.2353 0.0000 0.6851 1
```

Calculated values
Total DFT energy (no corrections)   -4.8190 eV/atom
Crystal system   monoclinic

# 4
VASP calculation (GGA-PBE) on a relaxed structure of Cs3Nd3TaS8.

Cell and atoms, written as CIF:
```
data_Cs3Nd3TaS8
_chemical_formula_sum 'Cs9 Nd9 Ta3 S24'
_symmetry_space_group_name_H-M 'R -3 m'
_symmetry_Int_Tables_number 166
_symmetry_space_group_name_Hall '-R 3 2"'
_cell_length_a 8.1370
_cell_length_b 8.1370
_cell_length_c 24.7966
_cell_angle_alpha 90.00
_cell_angle_beta 90.00
_cell_angle_gamma 120.00
loop_
_atom_site_label
_atom_site_type_symbol
_atom_site_fract_x
_atom_site_fract_y
_atom_site_fract_z
_atom_site_occupancy
Cs1 Cs 0.0000 0.5000 0.0000 1
Nd1 Nd 0.0000 0.5000 0.5000 1
Ta1 Ta 0.0000 0.0000 0.5000 1
S1 S 0.0000 0.0000 0.2303 1
S2 S 0.0358 0.5179 0.2245 1
```

Calculated values
Total DFT energy (no corrections)   -5.7119 eV/atom
Crystal system   trigonal

# 5
VASP calculation (GGA-PBE) on a relaxed structure of CsTb4NdS8.

Cell and atoms, written as CIF:
```
data_CsTb4NdS8
_chemical_formula_sum 'Cs3 Tb12 Nd3 S24'
_symmetry_space_group_name_H-M 'R 3 m'
_symmetry_Int_Tables_number 160
_symmetry_space_group_name_Hall 'R 3 -2"'
_cell_length_a 8.3449
_cell_length_b 8.3449
_cell_length_c 20.9881
_cell_angle_alpha 90.00
_cell_angle_beta 90.00
_cell_angle_gamma 120.00
loop_
_atom_site_label
_atom_site_type_symbol
_atom_site_fract_x
_atom_site_fract_y
_atom_site_fract_z
_atom_site_occupancy
Cs1 Cs 0.0000 0.0000 0.0000 1
Tb1 Tb 0.0000 0.0000 0.2565 1
Tb2 Tb 0.1720 0.3439 0.4626 1
Nd1 Nd 0.0000 0.0000 0.6363 1
S1 S 0.0000 0.0000 0.3874 1
S2 S 0.0000 0.0000 0.8572 1
S3 S 0.0511 0.5255 0.3913 1
S4 S 0.1743 0.3486 0.2113 1
```

Calculated values
Total DFT energy (no corrections)   -5.9449 eV/atom
Crystal system   trigonal

# 6
VASP calculation (GGA-PBE) on a relaxed structure of Cs3Tb2NdS6.

Cell and atoms, written as CIF:
```
data_Cs3Tb2NdS6
_chemical_formula_sum 'Cs6 Tb4 Nd2 S12'
_symmetry_space_group_name_H-M 'C 1 2/m 1'
_symmetry_Int_Tables_number 12
_symmetry_space_group_name_Hall '-C 2y'
_cell_length_a 7.2186
_cell_length_b 12.5030
_cell_length_c 8.4325
_cell_angle_alpha 90.00
_cell_angle_beta 106.58
_cell_angle_gamma 90.00
loop_
_atom_site_label
_atom_site_type_symbol
_atom_site_fract_x
_atom_site_fract_y
_atom_site_fract_z
_atom_site_occupancy
Cs1 Cs 0.0000 0.0000 0.0000 1
Cs2 Cs 0.0000 0.3343 0.0000 1
Tb1 Tb 0.0000 0.1667 0.5000 1
Nd1 Nd 0.0000 0.5000 0.5000 1
S1 S 0.2206 0.0000 0.6833 1
S2 S 0.2315 0.3297 0.6838 1
```

Calculated values
Total DFT energy (no corrections)   -5.2702 eV/atom
Crystal system   monoclinic

# 7
VASP calculation (GGA-PBE) on a relaxed structure of Cs3Nd3TcS8.

Cell and atoms, written as CIF:
```
data_Cs3Nd3TcS8
_chemical_formula_sum 'Cs9 Nd9 Tc3 S24'
_symmetry_space_group_name_H-M 'R -3 m'
_symmetry_Int_Tables_number 166
_symmetry_space_group_name_Hall '-R 3 2"'
_cell_length_a 8.1661
_cell_length_b 8.1661
_cell_length_c 24.6920
_cell_angle_alpha 90.00
_cell_angle_beta 90.00
_cell_angle_gamma 120.00
loop_
_atom_site_label
_atom_site_type_symbol
_atom_site_fract_x
_atom_site_fract_y
_atom_site_fract_z
_atom_site_occupancy
Cs1 Cs 0.0000 0.5000 0.0000 1
Nd1 Nd 0.0000 0.5000 0.5000 1
Tc1 Tc 0.0000 0.0000 0.5000 1
S1 S 0.0000 0.0000 0.2294 1
S2 S 0.0374 0.5187 0.2237 1
```

Calculated values
Total DFT energy (no corrections)   -5.4635 eV/atom
Crystal system   trigonal

# 8
VASP calculation (GGA-PBE) on a relaxed structure of CsNdTeS.

Cell and atoms, written as CIF:
```
data_CsNdTeS
_chemical_formula_sum 'Cs3 Nd3 Te3 S3'
_symmetry_space_group_name_H-M 'R 3 m'
_symmetry_Int_Tables_number 160
_symmetry_space_group_name_Hall 'R 3 -2"'
_cell_length_a 4.4211
_cell_length_b 4.4211
_cell_length_c 26.1127
_cell_angle_alpha 90.00
_cell_angle_beta 90.00
_cell_angle_gamma 120.00
loop_
_atom_site_label
_atom_site_type_symbol
_atom_site_fract_x
_atom_site_fract_y
_atom_site_fract_z
_atom_site_occupancy
Cs1 Cs 0.0000 0.0000 0.0000 1
Nd1 Nd 0.0000 0.0000 0.1562 1
Te1 Te 0.0000 0.0000 0.5628 1
S1 S 0.0000 0.0000 0.7698 1
```

Calculated values
Total DFT energy (no corrections)   -4.7844 eV/atom
Crystal system   trigonal

# 9
VASP calculation (GGA-PBE) on a relaxed structure of Cs4NdTh3S8.

Cell and atoms, written as CIF:
```
data_Cs4NdTh3S8
_chemical_formula_sum 'Cs12 Nd3 Th9 S24'
_symmetry_space_group_name_H-M 'R -3 m'
_symmetry_Int_Tables_number 166
_symmetry_space_group_name_Hall '-R 3 2"'
_cell_length_a 8.3680
_cell_length_b 8.3680
_cell_length_c 24.4771
_cell_angle_alpha 90.00
_cell_angle_beta 90.00
_cell_angle_gamma 120.00
loop_
_atom_site_label
_atom_site_type_symbol
_atom_site_fract_x
_atom_site_fract_y
_atom_site_fract_z
_atom_site_occupancy
Cs1 Cs 0.0000 0.0000 0.0000 1
Cs2 Cs 0.0000 0.5000 0.0000 1
Nd1 Nd 0.0000 0.0000 0.5000 1
Th1 Th 0.0000 0.5000 0.5000 1
S1 S 0.0000 0.0000 0.2298 1
S2 S 0.0060 0.5030 0.7701 1
```

Calculated values
Total DFT energy (no corrections)   -5.6546 eV/atom
Crystal system   trigonal